Computed, not measured: crystalline K4Sm3FeO8 at its relaxed geometry at the PBE+U level of DFT.

## Properties
The calculation puts the uncorrected energy at -6.295 eV per atom. Its space-group type is R-3m, No. 166. For the total magnetization, the calculation gives 5.2 Bohr magnetons per cell.

Cell: 7.440 7.440 7.440 Å, 55.80 55.80 55.80°
Sites, in units of the cell vectors:
1 K 0.000 0.000 0.000
2 K 0.000 0.500 0.500
3 K 0.500 0.000 0.500
4 K 0.500 0.500 0.000
5 Sm 0.000 0.000 0.500
6 Sm 0.000 0.500 0.000
7 Sm 0.500 0.000 0.000
8 Fe 0.500 0.500 0.500
9 O 0.231 0.231 0.231
10 O 0.250 0.717 0.717
11 O 0.283 0.283 0.750
12 O 0.283 0.750 0.283
13 O 0.717 0.250 0.717
14 O 0.717 0.717 0.250
15 O 0.750 0.283 0.283
16 O 0.769 0.769 0.769